## LiMnCoO4 (GGA+U)

Data for a relaxed structure of LiMnCoO4.

a = 5.7172 Å, b = 5.7172 Å, c = 5.7172 Å
α = 118.82°, β = 118.74°, γ = 92.13°
With the nearest neighbours (Å) after each atom.
Fractional positions:
Li: 0.0000 0.0000 0.0000  6 O 2.06-2.16
Li: 0.5000 0.0000 0.5000  6 O 2.06-2.16
Mn: 0.0000 0.5000 0.5000  6 O 1.93-1.96
Mn: 0.5000 0.5000 0.0000  6 O 1.93-1.96
Co: 0.5000 0.0000 0.0000  6 O 1.92-1.93
Co: 0.5000 0.5000 0.5000  6 O 1.92-1.93
O: 0.2587 0.2827 0.5240  1 Co 1.92, 2 Mn 1.96
O: 0.2587 0.7346 0.9760  1 Co 1.92, 2 Mn 1.96
O: 0.2752 0.7418 0.5334  2 Co 1.93, 1 Mn 1.93, 1 Li 2.06
O: 0.2916 0.2582 0.0334  2 Co 1.93, 1 Mn 1.93, 1 Li 2.06
O: 0.7084 0.7418 0.9666  2 Co 1.93, 1 Mn 1.93, 1 Li 2.06
O: 0.7248 0.2582 0.4666  2 Co 1.93, 1 Mn 1.93, 1 Li 2.06
O: 0.7413 0.2654 0.0240  1 Co 1.92, 2 Mn 1.96
O: 0.7413 0.7173 0.4760  1 Co 1.92, 2 Mn 1.96

The symmetry is No. 74. The value obtained for the energy above the most stable polymorph in this dataset is 26 meV/atom.